The following is a DFT calculation (PBE-GGA) of a geometry-optimized Ac2MgTlPd6 structure.

Its spin magnetization is 0.00 μB per formula unit. The formation energy comes out at -48.6 kJ per mole of atoms.

a = 9.124 Å, b = 5.861 Å, c = 5.866 Å
α = 60.03°, β = 71.15°, γ = 90.05°
Sites, in units of the cell vectors:
Pd 0.769 0.261 0.985
Pd 0.769 0.753 0.986
Pd 0.231 0.247 0.014
Pd 0.231 0.739 0.015
Pd 0.769 0.753 0.493
Pd 0.231 0.247 0.507
Tl 0.500 0.500 0.000
Ac 0.859 0.286 0.427
Ac 0.141 0.714 0.573
Mg 0.000 0.000 0.000